DFT (PBE-GGA) results for an optimized crystal structure of Ru3Br.

```
Ru3Br
1.0
9.704 0.000 0.000
0.000 2.883 0.000
-0.178 0.000 4.438
Ru Br
6 2
direct
0.000 0.000 0.000
0.222 0.500 0.228
0.278 0.000 0.772
0.500 0.500 0.000
0.722 0.000 0.228
0.778 0.500 0.772
0.000 0.500 0.500
0.500 0.000 0.500
```

ΔE_f (raw)	767	meV/atom
total energy	-6.608	eV per atom
total magnetization	0.00	μB/f.u.
ΔE to the lowest computed polymorph	189.3	meV per atom
SG	No. 12

DFT (PBE-GGA) results for an optimized crystal structure of RuBr5.

```
RuBr5
1.0
5.447 0.000 0.000
-2.723 4.717 0.000
0.000 0.000 8.534
Ru Br
1 5
direct
0.000 0.000 0.000
0.000 0.500 0.500
0.333 0.667 0.000
0.500 0.000 0.500
0.500 0.500 0.500
0.667 0.333 0.000
```

ΔE_f (raw)	740	meV/atom
total energy	-2.200	eV per atom
total magnetization	3.31	μB/f.u.
ΔE to the lowest computed polymorph	636.7	meV per atom
SG	No. 191

DFT (PBE-GGA) results for an optimized crystal structure of Ru2Br.

```
Ru2Br
1.0
3.060 0.000 0.000
0.000 7.310 0.000
0.000 0.000 4.199
Ru Br
4 2
direct
0.248 0.167 0.000
0.252 0.667 0.500
0.748 0.333 0.500
0.752 0.833 0.000
0.000 0.500 0.000
0.500 0.000 0.500
```

ΔE_f (raw)	956	meV/atom
total energy	-5.786	eV per atom
total magnetization	0.00	μB/f.u.
ΔE to the lowest computed polymorph	603.5	meV per atom
SG	No. 58

DFT (PBE-GGA) results for an optimized crystal structure of Ru5Br.

```
Ru5Br
1.0
3.896 0.000 0.000
0.000 12.186 0.000
0.000 0.000 3.825
Ru Br
10 2
direct
0.000 0.000 0.000
0.000 0.183 0.500
0.000 0.322 0.000
0.000 0.678 0.000
0.000 0.817 0.500
0.500 0.178 0.000
0.500 0.317 0.500
0.500 0.500 0.000
0.500 0.683 0.500
0.500 0.822 0.000
0.000 0.500 0.500
0.500 0.000 0.500
```

ΔE_f (raw)	669	meV/atom
total energy	-7.340	eV per atom
total magnetization	0.00	μB/f.u.
SG	No. 65

DFT (PBE-GGA) results for an optimized crystal structure of RuBr.

```
RuBr
1.0
3.667 0.000 0.000
0.000 13.537 0.000
0.000 0.000 5.524
Ru Br
6 6
direct
0.250 0.090 0.200
0.250 0.410 0.200
0.250 0.750 0.390
0.750 0.250 0.610
0.750 0.590 0.800
0.750 0.910 0.800
0.250 0.250 0.350
0.250 0.599 0.101
0.250 0.901 0.101
0.750 0.099 0.899
0.750 0.401 0.899
0.750 0.750 0.650
```

ΔE_f (raw)	1003	meV/atom
total energy	-4.471	eV per atom
total magnetization	0.00	μB/f.u.
ΔE to the lowest computed polymorph	793.2	meV per atom
SG	No. 59

DFT (PBE-GGA) results for an optimized crystal structure of Ru3Br5.

```
Ru3Br5
1.0
8.319 0.000 0.000
0.000 12.872 0.000
0.000 0.000 3.559
Ru Br
6 10
direct
0.000 0.000 0.000
0.000 0.155 0.500
0.000 0.845 0.500
0.500 0.345 0.500
0.500 0.500 0.000
0.500 0.655 0.500
0.000 0.500 0.000
0.214 0.000 0.500
0.250 0.250 0.000
0.250 0.750 0.000
0.286 0.500 0.500
0.500 0.000 0.000
0.714 0.500 0.500
0.750 0.250 0.000
0.750 0.750 0.000
0.786 0.000 0.500
```

ΔE_f (raw)	543	meV/atom
total energy	-3.980	eV per atom
total magnetization	5.03	μB/f.u.
ΔE to the lowest computed polymorph	247.4	meV per atom
SG	No. 65

Please write out number 5 again, unchanged.
DFT (PBE-GGA) results for an optimized crystal structure of RuBr.

```
RuBr
1.0
3.667 0.000 0.000
0.000 13.537 0.000
0.000 0.000 5.524
Ru Br
6 6
direct
0.250 0.090 0.200
0.250 0.410 0.200
0.250 0.750 0.390
0.750 0.250 0.610
0.750 0.590 0.800
0.750 0.910 0.800
0.250 0.250 0.350
0.250 0.599 0.101
0.250 0.901 0.101
0.750 0.099 0.899
0.750 0.401 0.899
0.750 0.750 0.650
```

ΔE_f (raw)	1003	meV/atom
total energy	-4.471	eV per atom
total magnetization	0.00	μB/f.u.
ΔE to the lowest computed polymorph	793.2	meV per atom
SG	No. 59